[1]
Material: TaBr3F
Method: DFT, PBE
State: relaxed

## Properties
ΔE to the lowest computed polymorph = 1518.9 meV/atom
Total energy = -0.1998 Ry per atom
Density of states at the Fermi level = 10.6 states/eV per cell

```
data_TaBr3F
_cell_length_a 4.781
_cell_length_b 4.781
_cell_length_c 4.781
_cell_angle_alpha 90.00
_cell_angle_beta 90.00
_cell_angle_gamma 90.00
_symmetry_space_group_name_H-M 'P m -3 m'
_symmetry_Int_Tables_number 221
_symmetry_space_group_name_Hall '-P 4 2 3'
loop_
_atom_site_label
_atom_site_type_symbol
_atom_site_fract_x
_atom_site_fract_y
_atom_site_fract_z
Ta1 Ta 0.000 0.000 0.000
Br1 Br 0.000 0.500 0.500
F1 F 0.500 0.500 0.500
```

=====

[2]
Material: Li2H2Pd
Method: DFT, PBE
State: relaxed

## Properties
Total energy = -0.2243 Ry per atom
Density of states at the Fermi level = 1.4 states/eV per cell

```
data_Li2H2Pd
_cell_length_a 6.103
_cell_length_b 6.103
_cell_length_c 2.656
_cell_angle_alpha 90.00
_cell_angle_beta 90.00
_cell_angle_gamma 90.00
_symmetry_space_group_name_H-M 'P 4/m b m'
_symmetry_Int_Tables_number 127
_symmetry_space_group_name_Hall '-P 4 2ab'
loop_
_atom_site_label
_atom_site_type_symbol
_atom_site_fract_x
_atom_site_fract_y
_atom_site_fract_z
Li1 Li 0.139 0.361 0.000
H1 H 0.153 0.653 0.500
Pd1 Pd 0.000 0.000 0.000
```

=====

[3]
Material: Zr2UFeC4
Method: DFT, PBE
State: relaxed

## Properties
Energy relative to the elements = -313 meV per atom
Total energy = -0.7005 Ry per atom
Density of states at the Fermi level = 24.7 states/eV per cell

```
data_Zr2UFeC4
_cell_length_a 3.299
_cell_length_b 11.156
_cell_length_c 11.037
_cell_angle_alpha 90.00
_cell_angle_beta 90.00
_cell_angle_gamma 90.00
_symmetry_space_group_name_H-M 'C m c m'
_symmetry_Int_Tables_number 63
_symmetry_space_group_name_Hall '-C 2c 2'
loop_
_atom_site_label
_atom_site_type_symbol
_atom_site_fract_x
_atom_site_fract_y
_atom_site_fract_z
Zr1 Zr 0.000 0.132 0.047
U1 U 0.000 0.398 0.250
Fe1 Fe 0.000 0.346 0.750
C1 C 0.000 0.062 0.250
C2 C 0.000 0.229 0.633
C3 C 0.000 0.500 0.000
```